Record 1
VASP calculation (PBE) on crystalline Li3Ho3NpSe8 at its relaxed geometry.

Properties
E ... -5.571 eV/atom
DOS at the Fermi energy ... 3.774 states/eV/f.u.
Calculated volume ... 373.6 Å³ per cell
Raw formation energy ... -1552 meV/atom

Cell: 8.018 8.018 8.018 Å, 61.11 61.11 61.11°
Fractional positions:
Li: 0.000 0.500 0.500
Li: 0.500 0.000 0.500
Li: 0.500 0.500 0.000
Ho: 0.000 0.000 0.500
Ho: 0.000 0.500 0.000
Ho: 0.500 0.000 0.000
Np: 0.500 0.500 0.500
Se: 0.251 0.251 0.251
Se: 0.252 0.252 0.748
Se: 0.252 0.748 0.252
Se: 0.252 0.748 0.748
Se: 0.748 0.252 0.252
Se: 0.748 0.252 0.748
Se: 0.748 0.748 0.252
Se: 0.749 0.749 0.749

Record 2
VASP calculation (PBE) on crystalline Li2HoNp3Se6 at its relaxed geometry.

Properties
E ... -6.940 eV/atom
DOS at the Fermi energy ... 28.525 states/eV/f.u.
Calculated volume ... 285.7 Å³ per cell
Raw formation energy ... -1263 meV/atom

Cell: 9.091 9.091 8.114 Å, 102.09 102.09 25.87°
Fractional positions:
Li: 0.173 0.173 0.345
Li: 0.827 0.827 0.655
Ho: 0.500 0.500 0.000
Np: 0.168 0.168 0.831
Np: 0.500 0.500 0.500
Np: 0.832 0.832 0.169
Se: 0.003 0.003 0.248
Se: 0.331 0.331 0.422
Se: 0.335 0.335 0.912
Se: 0.665 0.665 0.088
Se: 0.669 0.669 0.578
Se: 0.997 0.997 0.752